! La2PuNiO8 | Alexandria via LeMat-Bulk | PBE+U | optimized geometry; values from VASP
&SYSTEM
  ibrav = 0, nat = 12, ntyp = 4
/
ATOMIC_SPECIES
La 138.91 La.upf
Pu 244.00 Pu.upf
Ni 58.69 Ni.upf
O 16.00 O.upf
CELL_PARAMETERS angstrom
4.4463 0.0000 0.0000
0.9572 5.2651 0.0000
0.6348 1.2125 7.4448
ATOMIC_POSITIONS angstrom
La 0.4090 0.6130 1.7250
La 5.6294 5.8646 5.7198
Pu 3.0192 3.2388 3.7224
Ni 2.7018 2.6325 0.0000
O 1.4462 4.4102 3.7788
O 1.5537 4.0076 0.2877
O 2.4159 1.9689 4.9928
O 2.5332 2.0250 1.8093
O 3.5052 4.4526 5.6355
O 3.6225 4.5087 2.4520
O 4.4846 2.4700 7.1570
O 4.5922 2.0674 3.6659
! D(E_F) (states/eV per atom): 0.03
! E (eV/atom): -7.959
! V (Å³/cell): 174